1.
Entry from Alexandria via LeMat-Bulk: PrNdMgHg after structural relaxation (PBE).

abc: 5.468 5.468 5.468
angles: 60.00 60.00 60.00
Fractional positions:
Mg: 0.000 0.000 0.000
Pr: 0.250 0.250 0.250
Nd: 0.750 0.750 0.750
Hg: 0.500 0.500 0.500

Magnetization (Bohr magnetons per cell): 0.007
Polymorph energy (0 for the lowest one) (meV per atom): 19
Calculated formation energy (eV/atom): -0.27

---

2.
Entry from Alexandria via LeMat-Bulk: K2CaCd6 after structural relaxation (PBE).

abc: 9.078 9.078 3.745
angles: 90.00 90.00 120.00
Fractional positions:
Cd: 0.672 0.672 0.500
Cd: 0.328 0.000 0.500
Cd: 0.672 0.000 0.500
Cd: 0.000 0.672 0.500
Cd: 0.000 0.328 0.500
Cd: 0.328 0.328 0.500
Ca: 0.000 0.000 0.000
K: 0.667 0.333 0.000
K: 0.333 0.667 0.000

Magnetization (Bohr magnetons per cell): 0.000
Calculated formation energy (eV/atom): -0.13

---

3.
Entry from Alexandria via LeMat-Bulk: MgZr2Ni9 after structural relaxation (PBE).

abc: 4.842 4.842 8.391
angles: 73.23 73.23 60.00
Fractional positions:
Ni: 0.920 0.414 0.252
Ni: 0.586 0.080 0.748
Ni: 0.334 0.334 0.999
Ni: 0.500 0.500 0.500
Ni: 0.080 0.586 0.748
Ni: 0.414 0.414 0.252
Ni: 0.666 0.666 0.001
Ni: 0.414 0.920 0.252
Ni: 0.586 0.586 0.748
Zr: 0.863 0.863 0.411
Zr: 0.137 0.137 0.589
Mg: 0.000 0.000 0.000

Magnetization (Bohr magnetons per cell): 0.244
Polymorph energy (0 for the lowest one) (meV per atom): 24
Calculated formation energy (eV/atom): -0.30

---

4.
Entry from Alexandria via LeMat-Bulk: ScSi5 after structural relaxation (PBE).

abc: 6.897 6.897 3.709
angles: 90.00 90.00 148.27
Fractional positions:
Si: 0.633 0.367 0.000
Si: 0.472 0.528 0.500
Si: 0.146 0.854 0.500
Si: 0.312 0.688 0.000
Si: 0.799 0.201 0.500
Sc: 0.972 0.028 0.000

E_form (uncorrected) (eV per atom): 0.068
Magnetization (Bohr magnetons per cell): 0.000
Polymorph energy (0 for the lowest one) (meV per atom): 105